A plane-wave DFT calculation with meta-GGA SCAN was carried out for SiTeW2 at its PBEsol-relaxed geometry.

abc: 4.4806 4.4806 4.4806
angles: 60.00 60.00 60.00
Fractional positions:
Te1 0.5000 0.5000 0.5000
W1 0.2500 0.2500 0.2500
W2 0.7500 0.7500 0.7500
Si1 0.0000 0.0000 0.0000

Values from the calculation:
Excess energy over the best structure of this formula in the dataset (eV/atom): 0.112
Formation energy without anion corrections (eV/atom): 0.611
DOS at the Fermi energy (states/eV/cell): 2.7